Dy2TlIn9: optimized geometry, GGA-PBE.

extended XYZ file:
```
12
Lattice="4.647 0.000 0.000 0.000 4.647 0.000 0.000 0.000 14.527" Properties=species:S:1:pos:R:3 pbc="T T T"
Dy 0.000 0.000 2.289
Dy 0.000 0.000 12.238
Tl 0.000 0.000 7.264
In 0.000 2.323 0.000
In 0.000 2.323 4.688
In 0.000 2.323 9.839
In 2.323 0.000 0.000
In 2.323 0.000 4.688
In 2.323 0.000 9.839
In 2.323 2.323 2.351
In 2.323 2.323 7.264
In 2.323 2.323 12.176
```

Values from the calculation:
Crystal system: tetragonal
ΔE_f in eV/f.u.: -2.81
Total magnetization in μB per cell: 0.000